1.
# B5C7 (PBE, optimized geometry)
data_B5C7
_symmetry_space_group_name_H-M 'P 1'
_symmetry_Int_Tables_number 1
_symmetry_space_group_name_Hall 'P 1'
_cell_length_a 2.666
_cell_length_b 2.666
_cell_length_c 15.075
_cell_angle_alpha 90.00
_cell_angle_beta 90.00
_cell_angle_gamma 120.00
loop_
_atom_site_label
_atom_site_type_symbol
_atom_site_fract_x
_atom_site_fract_y
_atom_site_fract_z
B1 B 0.000 0.000 0.000
B2 B 0.000 0.000 0.291
B3 B 0.000 0.000 0.588
B4 B 0.333 0.667 0.843
B5 B 0.667 0.333 0.451
C1 C 0.000 0.000 0.706
C2 C 0.333 0.667 0.303
C3 C 0.333 0.667 0.406
C4 C 0.333 0.667 0.732
C5 C 0.667 0.333 0.556
C6 C 0.667 0.333 0.884
C7 C 0.667 0.333 0.988
# * E: -0.287 Ha/atom
# * energy above the lowest structure with this stoichiometry: 0.093 eV per atom
# * space-group type: P3m1 (156)

***

2.
# AuS2O (PBE, optimized geometry)
data_AuS2O
_symmetry_space_group_name_H-M 'P 1'
_symmetry_Int_Tables_number 1
_symmetry_space_group_name_Hall 'P 1'
_cell_length_a 8.394
_cell_length_b 8.394
_cell_length_c 8.394
_cell_angle_alpha 19.71
_cell_angle_beta 19.71
_cell_angle_gamma 19.71
loop_
_atom_site_label
_atom_site_type_symbol
_atom_site_fract_x
_atom_site_fract_y
_atom_site_fract_z
Au1 Au 0.000 0.000 0.000
S1 S 0.101 0.101 0.101
S2 S 0.899 0.899 0.899
O1 O 0.500 0.500 0.500
# * uncorrected formation energy: 0.83 eV per atom
# * E: -0.121 Ha/atom
# * space-group type: R-3m (166)

***

3.
# Zr2N2O (PBE, optimized geometry)
data_Zr2N2O
_symmetry_space_group_name_H-M 'P 1'
_symmetry_Int_Tables_number 1
_symmetry_space_group_name_Hall 'P 1'
_cell_length_a 13.866
_cell_length_b 3.120
_cell_length_c 5.562
_cell_angle_alpha 90.00
_cell_angle_beta 90.00
_cell_angle_gamma 90.00
loop_
_atom_site_label
_atom_site_type_symbol
_atom_site_fract_x
_atom_site_fract_y
_atom_site_fract_z
Zr1 Zr 0.081 0.250 0.195
Zr2 Zr 0.197 0.250 0.708
Zr3 Zr 0.303 0.750 0.208
Zr4 Zr 0.419 0.750 0.695
Zr5 Zr 0.581 0.250 0.305
Zr6 Zr 0.697 0.250 0.792
Zr7 Zr 0.803 0.750 0.292
Zr8 Zr 0.919 0.750 0.805
N1 N 0.152 0.750 0.441
N2 N 0.172 0.750 0.985
N3 N 0.328 0.250 0.485
N4 N 0.348 0.250 0.941
N5 N 0.652 0.750 0.059
N6 N 0.672 0.750 0.515
N7 N 0.828 0.250 0.015
N8 N 0.848 0.250 0.559
O1 O 0.026 0.250 0.804
O2 O 0.474 0.750 0.304
O3 O 0.526 0.250 0.696
O4 O 0.974 0.750 0.196
# * uncorrected formation energy: -1.97 eV per atom
# * E: -0.357 Ha/atom
# * space-group type: Pnma (62)

***

4.
# Ca2ZnBi2 (PBE, optimized geometry)
data_Ca2ZnBi2
_symmetry_space_group_name_H-M 'P 1'
_symmetry_Int_Tables_number 1
_symmetry_space_group_name_Hall 'P 1'
_cell_length_a 9.333
_cell_length_b 9.333
_cell_length_c 3.645
_cell_angle_alpha 90.00
_cell_angle_beta 90.00
_cell_angle_gamma 90.00
loop_
_atom_site_label
_atom_site_type_symbol
_atom_site_fract_x
_atom_site_fract_y
_atom_site_fract_z
Ca1 Ca 0.138 0.362 0.000
Ca2 Ca 0.362 0.862 0.000
Ca3 Ca 0.638 0.138 0.000
Ca4 Ca 0.862 0.638 0.000
Zn1 Zn 0.000 0.000 0.000
Zn2 Zn 0.500 0.500 0.000
Bi1 Bi 0.163 0.663 0.500
Bi2 Bi 0.337 0.163 0.500
Bi3 Bi 0.663 0.837 0.500
Bi4 Bi 0.837 0.337 0.500
# * E: -0.110 Ha/atom
# * space-group type: P4/mbm (127)

***

5.
# Na3PmTh3Te8 (PBE, optimized geometry)
data_Na3PmTh3Te8
_symmetry_space_group_name_H-M 'P 1'
_symmetry_Int_Tables_number 1
_symmetry_space_group_name_Hall 'P 1'
_cell_length_a 9.272
_cell_length_b 9.272
_cell_length_c 9.272
_cell_angle_alpha 57.17
_cell_angle_beta 57.17
_cell_angle_gamma 57.17
loop_
_atom_site_label
_atom_site_type_symbol
_atom_site_fract_x
_atom_site_fract_y
_atom_site_fract_z
Na1 Na 0.000 0.500 0.500
Na2 Na 0.500 0.000 0.500
Na3 Na 0.500 0.500 0.000
Pm1 Pm 0.500 0.500 0.500
Th1 Th 0.000 0.000 0.500
Th2 Th 0.000 0.500 0.000
Th3 Th 0.500 0.000 0.000
Te1 Te 0.243 0.749 0.749
Te2 Te 0.249 0.249 0.249
Te3 Te 0.251 0.251 0.757
Te4 Te 0.251 0.757 0.251
Te5 Te 0.749 0.243 0.749
Te6 Te 0.749 0.749 0.243
Te7 Te 0.751 0.751 0.751
Te8 Te 0.757 0.251 0.251
# * uncorrected formation energy: -1.17 eV per atom
# * E: -0.180 Ha/atom
# * space-group type: R-3m (166)

***

6.
# Cd3SbPb (PBE, optimized geometry)
data_Cd3SbPb
_symmetry_space_group_name_H-M 'P 1'
_symmetry_Int_Tables_number 1
_symmetry_space_group_name_Hall 'P 1'
_cell_length_a 7.383
_cell_length_b 7.383
_cell_length_c 12.528
_cell_angle_alpha 96.74
_cell_angle_beta 96.74
_cell_angle_gamma 54.80
loop_
_atom_site_label
_atom_site_type_symbol
_atom_site_fract_x
_atom_site_fract_y
_atom_site_fract_z
Cd1 Cd 0.004 0.784 0.189
Cd2 Cd 0.062 0.825 0.907
Cd3 Cd 0.175 0.938 0.593
Cd4 Cd 0.197 0.355 0.681
Cd5 Cd 0.216 0.996 0.311
Cd6 Cd 0.355 0.197 0.181
Cd7 Cd 0.645 0.803 0.819
Cd8 Cd 0.784 0.004 0.689
Cd9 Cd 0.803 0.645 0.319
Cd10 Cd 0.825 0.062 0.407
Cd11 Cd 0.938 0.175 0.093
Cd12 Cd 0.996 0.216 0.811
Sb1 Sb 0.000 0.500 0.000
Sb2 Sb 0.451 0.549 0.750
Sb3 Sb 0.500 0.000 0.500
Sb4 Sb 0.549 0.451 0.250
Pb1 Pb 0.252 0.511 0.444
Pb2 Pb 0.489 0.748 0.056
Pb3 Pb 0.511 0.252 0.944
Pb4 Pb 0.748 0.489 0.556
# * uncorrected formation energy: 0.07 eV per atom
# * E: -0.075 Ha/atom
# * energy above the lowest structure with this stoichiometry: 0.000 eV per atom
# * space-group type: C2/c (15)